(1)
DFT (GGA-PBE) results for SmAl3Fe after structural relaxation.

Summary:
SG = Cmcm (63)
E_tot = -5.214 eV/atom
Distance to the lowest polymorph of the same formula = 0.027 eV per atom
Volume = 18.3 Å³ per atom
Energy relative to the elements = -0.333 eV/atom
Density of states at the Fermi level = 0.7390 states/eV/atom

Structure (extended XYZ):
```
10
Lattice="3.1297 -5.4262 0.0000 3.1297 5.4262 0.0000 0.0000 0.0000 5.3762" Properties=species:S:1:pos:R:3 pbc="T T T"
Sm 3.1297 3.6209 4.0321
Sm 3.1297 -3.6209 1.3440
Al 1.3883 1.0091 4.0321
Al 1.3883 -1.0091 1.3440
Al 3.1297 2.0127 1.3440
Al 3.1297 -2.0127 4.0321
Al 4.8711 1.0091 4.0321
Al 4.8711 -1.0091 1.3440
Fe 3.1297 0.0000 0.0000
Fe 3.1297 0.0000 2.6881
```

---

(2)
DFT (GGA-PBE) results for SmAl7Fe5 after structural relaxation.

Summary:
SG = Imm2 (44)
E_tot = -6.012 eV/atom
Volume = 14.6 Å³ per atom
Energy relative to the elements = -0.379 eV/atom
Density of states at the Fermi level = 0.7376 states/eV/atom

Structure (extended XYZ):
```
13
Lattice="-2.5123 4.3518 4.3464 2.5123 -4.3518 4.3464 2.5123 4.3518 -4.3464" Properties=species:S:1:pos:R:3 pbc="T T T"
Sm 0.0000 0.0000 0.0000
Al 2.5123 1.8488 -0.0051
Al 2.5123 -1.3613 4.2325
Al 0.0000 0.0000 2.9223
Al 2.5123 1.3613 4.2325
Al 0.0000 0.0000 5.6852
Al 0.0000 4.3518 2.3252
Al 0.0000 2.5031 4.3413
Fe 2.5123 0.0000 2.0179
Fe 1.2481 2.1760 2.1193
Fe 1.2641 -2.1759 6.4657
Fe 1.2481 6.5277 2.1193
Fe 1.2641 2.1759 6.4657
```

---

(3)
DFT (GGA-PBE) results for Sm2Al4Fe13 after structural relaxation.

Summary:
SG = R3m (160)
E_tot = -7.183 eV/atom
Volume = 14.1 Å³ per atom
Energy relative to the elements = -0.109 eV/atom
Density of states at the Fermi level = 0.9769 states/eV/atom

Structure (extended XYZ):
```
19
Lattice="4.2668 2.4634 4.2487 -4.2668 2.4634 4.2487 0.0000 -4.9269 4.2487" Properties=species:S:1:pos:R:3 pbc="T T T"
Sm 0.0000 0.0000 0.0000
Sm 0.0000 0.0000 3.9411
Al -2.0602 -1.1894 6.2457
Al 2.0602 -1.1894 6.2457
Al 0.0000 2.3789 6.2457
Al 0.0000 0.0000 9.5099
Fe 0.0000 -2.5208 6.1657
Fe -2.1831 1.2604 6.1657
Fe -1.2399 -2.1442 8.3771
Fe -2.4769 -0.0017 8.3771
Fe -2.1291 -1.2292 10.5532
Fe 0.0000 0.0000 7.1169
Fe 1.2399 -2.1442 8.3771
Fe -1.2370 2.1459 8.3771
Fe 2.1831 1.2604 6.1657
Fe 2.4769 -0.0017 8.3771
Fe 1.2370 2.1459 8.3771
Fe 2.1291 -1.2292 10.5532
Fe 0.0000 2.4584 10.5532
```

---

(4)
DFT (GGA-PBE) results for Sm2AlFe after structural relaxation.

Summary:
SG = P4/mmm (123)
E_tot = -5.453 eV/atom
Distance to the lowest polymorph of the same formula = 0.000 eV per atom
Volume = 23.1 Å³ per atom
Energy relative to the elements = -0.043 eV/atom
Density of states at the Fermi level = 1.4743 states/eV/atom

Structure (extended XYZ):
```
4
Lattice="3.5795 0.0000 0.0000 0.0000 3.5795 0.0000 0.0000 0.0000 7.2260" Properties=species:S:1:pos:R:3 pbc="T T T"
Sm 0.0000 0.0000 1.6662
Sm 0.0000 0.0000 5.5598
Al 1.7898 1.7898 3.6130
Fe 1.7898 1.7898 0.0000
```

---

(5)
DFT (GGA-PBE) results for Sm2Al5Fe5 after structural relaxation.

Summary:
SG = Pmmm (47)
E_tot = -6.144 eV/atom
Volume = 16.3 Å³ per atom
Energy relative to the elements = -0.272 eV/atom
Density of states at the Fermi level = 0.8280 states/eV/atom

Structure (extended XYZ):
```
12
Lattice="4.0851 0.0000 0.0000 0.0000 5.1726 0.0000 0.0000 0.0000 9.2300" Properties=species:S:1:pos:R:3 pbc="T T T"
Sm 0.0000 0.0000 0.0000
Sm 0.0000 2.5863 4.6150
Al 0.0000 0.0000 2.9006
Al 0.0000 0.0000 6.3294
Al 0.0000 2.5863 1.5653
Al 0.0000 2.5863 7.6648
Al 2.0425 0.0000 4.6150
Fe 2.0425 1.3328 2.2723
Fe 2.0425 1.3328 6.9577
Fe 2.0425 2.5863 0.0000
Fe 2.0425 3.8398 2.2723
Fe 2.0425 3.8398 6.9577
```

---

(6)
DFT (GGA-PBE) results for SmAl6Fe6 after structural relaxation.

Summary:
SG = Immm (71)
E_tot = -6.355 eV/atom
Volume = 14.2 Å³ per atom
Energy relative to the elements = -0.358 eV/atom
Density of states at the Fermi level = 0.6758 states/eV/atom

Structure (extended XYZ):
```
13
Lattice="-2.4985 4.2735 4.3369 2.4985 -4.2735 4.3369 2.4985 4.2735 -4.3369" Properties=species:S:1:pos:R:3 pbc="T T T"
Sm 0.0000 0.0000 0.0000
Al 2.4985 0.0000 1.6933
Al 0.0000 2.8951 0.0000
Al 0.0000 0.0000 3.0158
Al 0.0000 0.0000 5.6581
Al 0.0000 5.6519 0.0000
Al 0.0000 4.2735 2.6436
Fe 1.2492 2.1368 -2.1685
Fe 1.2492 -2.1368 2.1685
Fe 2.4985 2.0594 0.0000
Fe -1.2492 2.1368 2.1685
Fe 1.2492 2.1368 2.1685
Fe 0.0000 2.2141 4.3369
```

---

(7)
DFT (GGA-PBE) results for Sm2Al3Fe after structural relaxation.

Summary:
SG = R-3m (166)
E_tot = -5.218 eV/atom
Volume = 20.0 Å³ per atom
Energy relative to the elements = -0.363 eV/atom
Density of states at the Fermi level = 0.8774 states/eV/atom

Structure (extended XYZ):
```
6
Lattice="2.8022 1.6178 4.4125 -2.8022 1.6178 4.4125 0.0000 -3.2357 4.4125" Properties=species:S:1:pos:R:3 pbc="T T T"
Sm 0.0000 0.0000 1.6644
Sm 0.0000 0.0000 11.5732
Al -1.4011 -0.8089 4.4125
Al -1.4011 0.8089 8.8250
Al 0.0000 1.6178 4.4125
Fe 0.0000 0.0000 6.6188
```

---

(8)
DFT (GGA-PBE) results for SmAlFe5 after structural relaxation.

Summary:
SG = Pnma (62)
E_tot = -7.347 eV/atom
Volume = 14.5 Å³ per atom
Energy relative to the elements = -0.093 eV/atom
Density of states at the Fermi level = 0.9247 states/eV/atom

Structure (extended XYZ):
```
28
Lattice="8.0342 0.0000 0.0000 0.0000 4.9204 0.0000 0.0000 0.0000 10.2632" Properties=species:S:1:pos:R:3 pbc="T T T"
Sm 1.9067 1.2301 0.6157
Sm 2.1104 3.6903 5.7474
Sm 5.9238 1.2301 4.5159
Sm 6.1275 3.6903 9.6475
Al 1.1659 3.6903 8.8031
Al 2.8512 1.2301 3.6714
Al 5.1829 3.6903 6.5918
Al 6.8683 1.2301 1.4602
Fe 0.4269 3.6903 1.1295
Fe 0.5003 0.0237 3.1985
Fe 0.5003 2.4365 3.1985
Fe 0.7035 1.2301 5.3159
Fe 1.5476 1.2301 7.7213
Fe 2.4695 3.6903 2.5897
Fe 3.3136 3.6903 0.1843
Fe 3.5168 2.4839 8.3302
Fe 3.5168 4.8967 8.3302
Fe 3.5902 1.2301 6.2612
Fe 4.4440 3.6903 4.0021
Fe 4.5174 0.0237 1.9331
Fe 4.5174 2.4365 1.9331
Fe 4.7206 1.2301 10.0789
Fe 5.5647 1.2301 7.6735
Fe 6.4866 3.6903 2.5419
Fe 7.3306 3.6903 4.9473
Fe 7.5339 2.4839 7.0647
Fe 7.5339 4.8967 7.0647
Fe 7.6073 1.2301 9.1337
```

---

(9)
DFT (GGA-PBE) results for Sm2AlFe after structural relaxation.

Summary:
SG = R-3m (166)
E_tot = -4.892 eV/atom
Distance to the lowest polymorph of the same formula = 0.561 eV per atom
Volume = 24.7 Å³ per atom
Energy relative to the elements = 0.519 eV/atom
Density of states at the Fermi level = 1.1093 states/eV/atom

Structure (extended XYZ):
```
12
Lattice="3.3079 0.0000 0.0000 -1.6539 2.8647 0.0000 0.0000 0.0000 31.2536" Properties=species:S:1:pos:R:3 pbc="T T T"
Sm 0.0000 0.0000 2.7267
Sm 0.0000 0.0000 28.5268
Sm 0.0000 1.9098 18.1090
Sm 0.0000 1.9098 23.5624
Sm 1.6539 0.9549 7.6911
Sm 1.6539 0.9549 13.1446
Al 0.0000 0.0000 15.6268
Al 0.0000 1.9098 5.2089
Al 1.6539 0.9549 26.0446
Fe 0.0000 0.0000 0.0000
Fe 0.0000 1.9098 20.8357
Fe 1.6539 0.9549 10.4178
```

---

(10)
DFT (GGA-PBE) results for SmAl2Fe9 after structural relaxation.

Summary:
SG = P4/mbm (127)
E_tot = -7.485 eV/atom
Volume = 12.7 Å³ per atom
Energy relative to the elements = -0.121 eV/atom
Density of states at the Fermi level = 1.2312 states/eV/atom

Structure (extended XYZ):
```
24
Lattice="8.0974 0.0000 0.0000 0.0000 8.0974 0.0000 0.0000 0.0000 4.6456" Properties=species:S:1:pos:R:3 pbc="T T T"
Sm 0.0000 0.0000 0.0000
Sm 4.0487 4.0487 0.0000
Al 0.9719 3.0767 0.0000
Al 3.0767 7.1254 0.0000
Al 5.0206 0.9719 0.0000
Al 7.1254 5.0206 0.0000
Fe 0.0000 4.0487 2.3228
Fe 0.5546 1.7336 2.3228
Fe 1.4244 5.4731 1.0770
Fe 1.4244 5.4731 3.5686
Fe 1.7336 7.5428 2.3228
Fe 2.3151 3.4941 2.3228
Fe 2.6243 1.4244 1.0770
Fe 2.6243 1.4244 3.5686
Fe 3.4941 5.7823 2.3228
Fe 4.0487 0.0000 2.3228
Fe 4.6033 2.3151 2.3228
Fe 5.4731 6.6730 1.0770
Fe 5.4731 6.6730 3.5686
Fe 5.7823 4.6033 2.3228
Fe 6.3638 0.5546 2.3228
Fe 6.6730 2.6243 1.0770
Fe 6.6730 2.6243 3.5686
Fe 7.5428 6.3638 2.3228
```

---

(11)
DFT (GGA-PBE) results for Sm12Al5Fe14 after structural relaxation.

Summary:
SG = P-3m1 (164)
E_tot = -6.114 eV/atom
Volume = 21.6 Å³ per atom
Energy relative to the elements = 0.138 eV/atom
Density of states at the Fermi level = 1.0772 states/eV/atom

Structure (extended XYZ):
```
31
Lattice="9.3784 0.0000 0.0000 -4.6892 8.1219 0.0000 0.0000 0.0000 8.8045" Properties=species:S:1:pos:R:3 pbc="T T T"
Sm -1.7952 4.3781 1.4766
Sm 0.0000 2.8381 5.5063
Sm -2.2313 6.7028 5.5063
Sm 2.4579 1.4191 3.2982
Sm 1.7952 4.3781 1.4766
Sm 0.0000 7.4875 1.4766
Sm 4.6892 0.6344 7.3279
Sm 2.8940 3.7438 7.3279
Sm 2.2313 6.7028 5.5063
Sm 6.9205 1.4191 3.2982
Sm 4.6892 5.2838 3.2982
Sm 6.4844 3.7438 7.3279
Al -2.3446 4.0610 4.4023
Al 0.0000 5.4146 7.8488
Al 4.6892 0.0000 4.4023
Al 2.3446 4.0610 4.4023
Al 4.6892 2.7073 0.9558
Fe 0.0000 0.0000 0.0000
Fe 0.0000 0.0000 4.4023
Fe 0.0000 1.5026 1.9090
Fe -3.3879 7.3706 1.9090
Fe 0.0000 2.5442 8.5279
Fe -2.4858 6.8498 8.5279
Fe 1.3013 0.7513 6.8955
Fe 2.2033 1.2721 0.2766
Fe 2.4858 6.8498 8.5279
Fe 3.3879 7.3706 1.9090
Fe 7.1750 1.2721 0.2766
Fe 4.6892 5.5777 0.2766
Fe 8.0771 0.7513 6.8955
Fe 4.6892 6.6193 6.8955
```

---

(12)
DFT (GGA-PBE) results for SmAl9Fe3 after structural relaxation.

Summary:
SG = C2/m (12)
E_tot = -5.288 eV/atom
Volume = 15.3 Å³ per atom
Energy relative to the elements = -0.381 eV/atom
Density of states at the Fermi level = 0.4818 states/eV/atom

Structure (extended XYZ):
```
13
Lattice="2.5298 -6.2909 0.0000 2.5298 6.2909 0.0000 -2.4339 0.0000 6.2391" Properties=species:S:1:pos:R:3 pbc="T T T"
Sm 0.0000 0.0000 0.0000
Al -1.2170 0.0000 3.1195
Al 0.0229 4.0557 4.1325
Al 0.1351 1.4220 4.8968
Al 2.6028 4.0557 2.1066
Al 2.4906 1.4220 1.3422
Al 0.1351 -1.4220 4.8968
Al 0.0229 -4.0557 4.1325
Al 2.4906 -1.4220 1.3422
Al 2.6028 -4.0557 2.1066
Fe 1.2649 3.1454 0.0000
Fe 1.2649 -3.1454 0.0000
Fe 1.3128 0.0000 3.1195
```

---

(13)
DFT (GGA-PBE) results for SmAl3Fe2 after structural relaxation.

Summary:
SG = Cmcm (63)
E_tot = -5.837 eV/atom
Volume = 16.9 Å³ per atom
Energy relative to the elements = -0.358 eV/atom
Density of states at the Fermi level = 0.6918 states/eV/atom

Structure (extended XYZ):
```
12
Lattice="4.8918 -4.0629 0.0000 4.8918 4.0629 0.0000 0.0000 0.0000 5.1107" Properties=species:S:1:pos:R:3 pbc="T T T"
Sm 4.8918 2.7906 3.8331
Sm 4.8918 -2.7906 1.2777
Al 2.9907 2.1908 1.2777
Al 6.7929 2.1908 1.2777
Al 4.8918 0.3504 1.2777
Al 4.8918 -0.3504 3.8331
Al 2.9907 -2.1908 3.8331
Al 6.7929 -2.1908 3.8331
Fe 2.7882 0.0000 0.0000
Fe 2.7882 0.0000 2.5554
Fe 6.9954 0.0000 0.0000
Fe 6.9954 0.0000 2.5554
```

---

(14)
DFT (GGA-PBE) results for SmAl2Fe after structural relaxation.

Summary:
SG = R-3m (166)
E_tot = -5.039 eV/atom
Volume = 18.6 Å³ per atom
Energy relative to the elements = 0.128 eV/atom
Density of states at the Fermi level = 0.8571 states/eV/atom

Structure (extended XYZ):
```
12
Lattice="3.0682 0.0000 0.0000 -1.5341 2.6572 0.0000 0.0000 0.0000 27.3515" Properties=species:S:1:pos:R:3 pbc="T T T"
Sm 0.0000 0.0000 0.0000
Sm 0.0000 1.7714 18.2343
Sm 1.5341 0.8857 9.1172
Al 0.0000 0.0000 6.3311
Al 0.0000 0.0000 21.0205
Al 0.0000 1.7714 11.9033
Al 0.0000 1.7714 24.5654
Al 1.5341 0.8857 2.7861
Al 1.5341 0.8857 15.4482
Fe 0.0000 0.0000 13.6758
Fe 0.0000 1.7714 4.5586
Fe 1.5341 0.8857 22.7929
```

---

(15)
DFT (GGA-PBE) results for SmAl3Fe3 after structural relaxation.

Summary:
SG = Pm-3n (223)
E_tot = -5.414 eV/atom
Volume = 19.5 Å³ per atom
Energy relative to the elements = 0.491 eV/atom
Density of states at the Fermi level = 1.0931 states/eV/atom

Structure (extended XYZ):
```
14
Lattice="6.4853 0.0000 0.0000 0.0000 6.4853 0.0000 0.0000 0.0000 6.4853" Properties=species:S:1:pos:R:3 pbc="T T T"
Sm 0.0000 0.0000 0.0000
Sm 3.2427 3.2427 3.2427
Al 0.0000 1.6213 3.2427
Al 0.0000 4.8640 3.2427
Al 1.6213 3.2427 0.0000
Al 3.2427 0.0000 1.6213
Al 3.2427 0.0000 4.8640
Al 4.8640 3.2427 0.0000
Fe 0.0000 3.2427 1.6213
Fe 0.0000 3.2427 4.8640
Fe 1.6213 0.0000 3.2427
Fe 3.2427 1.6213 0.0000
Fe 3.2427 4.8640 0.0000
Fe 4.8640 0.0000 3.2427
```

---

(16)
DFT (GGA-PBE) results for SmAl11Fe after structural relaxation.

Summary:
SG = C2/m (12)
E_tot = -4.377 eV/atom
Volume = 16.8 Å³ per atom
Energy relative to the elements = -0.196 eV/atom
Density of states at the Fermi level = 0.4107 states/eV/atom

Structure (extended XYZ):
```
13
Lattice="2.5798 -6.2763 0.0000 2.5798 6.2763 0.0000 -2.3574 0.0000 6.7599" Properties=species:S:1:pos:R:3 pbc="T T T"
Sm 0.0000 0.0000 0.0000
Al -1.1787 0.0000 3.3800
Al 1.2899 3.1381 0.0000
Al 0.1491 2.1565 2.4528
Al 0.2111 1.3541 5.1868
Al 0.1491 -2.1565 2.4528
Al 0.2111 -1.3541 5.1868
Al 1.2899 -3.1381 0.0000
Al 2.5911 1.3541 1.5732
Al 2.6531 2.1565 4.3071
Al 2.5911 -1.3541 1.5732
Al 2.6531 -2.1565 4.3071
Fe 1.4011 0.0000 3.3800
```

---

(17)
DFT (GGA-PBE) results for SmAl3Fe after structural relaxation.

Summary:
SG = Pm-3m (221)
E_tot = -5.241 eV/atom
Distance to the lowest polymorph of the same formula = 0.000 eV per atom
Volume = 18.6 Å³ per atom
Energy relative to the elements = -0.359 eV/atom
Density of states at the Fermi level = 0.2065 states/eV/atom

Structure (extended XYZ):
```
5
Lattice="4.5295 0.0000 0.0000 0.0000 4.5295 0.0000 0.0000 0.0000 4.5295" Properties=species:S:1:pos:R:3 pbc="T T T"
Sm 0.0000 0.0000 0.0000
Al 0.0000 2.2648 2.2648
Al 2.2648 0.0000 2.2648
Al 2.2648 2.2648 0.0000
Fe 2.2648 2.2648 2.2648
```

---

(18)
DFT (GGA-PBE) results for TbSm2Al12Fe3 after structural relaxation.

Summary:
SG = R-3m (166)
E_tot = -4.552 eV/atom
Volume = 21.7 Å³ per atom
Energy relative to the elements = 0.135 eV/atom
Density of states at the Fermi level = 0.7905 states/eV/atom

Structure (extended XYZ):
```
18
Lattice="4.2667 2.4634 6.2015 -4.2667 2.4634 6.2015 0.0000 -4.9268 6.2015" Properties=species:S:1:pos:R:3 pbc="T T T"
Tb 0.0000 0.0000 0.0000
Sm 0.0000 0.0000 7.7550
Sm 0.0000 0.0000 10.8494
Al -2.7262 -1.5740 9.5405
Al 0.0000 -1.7909 5.2905
Al -1.5509 0.8954 5.2905
Al 0.0000 -3.1480 9.0639
Al -2.7262 1.5740 9.0639
Al -1.5509 -0.8954 13.3138
Al 1.5509 0.8954 5.2905
Al 2.7262 -1.5740 9.5405
Al 0.0000 3.1480 9.5405
Al 1.5509 -0.8954 13.3138
Al 0.0000 1.7909 13.3138
Al 2.7262 1.5740 9.0638
Fe -4.2667 0.0000 9.3022
Fe -2.1334 1.2317 3.1007
Fe 2.1334 1.2317 3.1007
```

---

(19)
DFT (GGA-PBE) results for Al2Fe2Sn after structural relaxation.

Summary:
SG = P4/mbm (127)
E_tot = -5.712 eV/atom
Volume = 14.8 Å³ per atom
Energy relative to the elements = -0.029 eV/atom
Density of states at the Fermi level = 0.7465 states/eV/atom

Structure (extended XYZ):
```
10
Lattice="6.7288 0.0000 0.0000 0.0000 6.7288 0.0000 0.0000 0.0000 3.2710" Properties=species:S:1:pos:R:3 pbc="T T T"
Al 0.9532 2.4113 0.0000
Al 2.4113 5.7757 0.0000
Al 4.3176 0.9532 0.0000
Al 5.7757 4.3176 0.0000
Fe 1.0069 4.3714 1.6355
Fe 2.3575 1.0069 1.6355
Fe 4.3714 5.7219 1.6355
Fe 5.7219 2.3575 1.6355
Sn 0.0000 0.0000 1.6355
Sn 3.3644 3.3644 1.6355
```